1.
Below is a relaxed structure of Tb9Dy2Ho, with properties calculated at the GGA-PBE level.

Summary:
Symmetry: No. 191
Formation enthalpy at 0 K, eV per atom: 0.050

Cell lengths 3.484, 11.211, 11.211 Å; angles 120.00, 90.00, 90.00 degrees
Atoms (fractional coordinates):
Tb  0.500  0.175  0.350
Tb  0.500  0.650  0.825
Tb  0.000  0.500  0.500
Tb  0.500  0.825  0.650
Tb  0.500  0.175  0.825
Tb  0.000  0.000  0.500
Tb  0.000  0.500  0.000
Tb  0.500  0.825  0.175
Tb  0.500  0.350  0.175
Dy  0.000  0.333  0.667
Dy  0.000  0.667  0.333
Ho  0.000  0.000  0.000

2.
Below is a relaxed structure of Pm2Al2In, with properties calculated at the GGA-PBE level.

Summary:
Symmetry: No. 127
Formation enthalpy at 0 K, eV per atom: -0.461

Cell lengths 7.362, 7.362, 9.395 Å; angles 90.00, 90.00, 90.00 degrees
Atoms (fractional coordinates):
Pm  0.171  0.671  0.500
Pm  0.829  0.329  0.000
Pm  0.829  0.329  0.500
Pm  0.329  0.171  0.500
Pm  0.329  0.171  0.000
Pm  0.671  0.829  0.500
Pm  0.671  0.829  0.000
Pm  0.171  0.671  0.000
Al  0.127  0.373  0.750
Al  0.373  0.873  0.250
Al  0.127  0.373  0.250
Al  0.627  0.127  0.250
Al  0.873  0.627  0.250
Al  0.873  0.627  0.750
Al  0.373  0.873  0.750
Al  0.627  0.127  0.750
In  0.500  0.500  0.750
In  0.000  0.000  0.750
In  0.000  0.000  0.250
In  0.500  0.500  0.250

3.
Below is a relaxed structure of Cs2ReIrF6, with properties calculated at the GGA-PBE level.

Summary:
E_form (uncorrected), eV/f.u.: -15.966
Symmetry: No. 139

Cell lengths 7.371, 7.371, 6.612 Å; angles 56.12, 56.12, 90.00 degrees
Each line ends with the local moment (μB).
Atoms (fractional coordinates):
F  0.691  0.691  0.000  0.07
F  0.253  0.253  0.494  0.07
F  0.309  0.691  0.000  0.07
F  0.747  0.747  0.506  0.07
F  0.309  0.309  0.000  0.07
F  0.691  0.309  0.000  0.07
Re  0.500  0.500  0.000  2.20
Ir  0.000  0.000  0.000  1.16
Cs  0.250  0.750  0.500  0.00
Cs  0.750  0.250  0.500  0.00

4.
Below is a relaxed structure of Li2LaPmSi2, with properties calculated at the GGA-PBE level.

Summary:
E_form (uncorrected), eV/f.u.: -3.226
Symmetry: No. 164

Cell lengths 4.491, 4.491, 7.620 Å; angles 90.00, 90.00, 120.00 degrees
Atoms (fractional coordinates):
Si  0.333  0.667  0.240
Si  0.667  0.333  0.760
Li  0.667  0.333  0.226
Li  0.333  0.667  0.774
Pm  0.000  0.000  0.000
La  0.000  0.000  0.500

5.
Below is a relaxed structure of Pr2ThZn2Sn2, with properties calculated at the GGA-PBE level.

Summary:
Symmetry: No. 166
Formation enthalpy at 0 K, eV per atom: -0.359

Cell lengths 4.444, 4.444, 11.868 Å; angles 79.21, 79.21, 60.00 degrees
Atoms (fractional coordinates):
Pr  0.874  0.874  0.377
Pr  0.126  0.126  0.623
Zn  0.384  0.384  0.847
Zn  0.616  0.616  0.153
Th  0.000  0.000  0.000
Sn  0.265  0.265  0.206
Sn  0.735  0.735  0.794

6.
Below is a relaxed structure of ZrMnC2, with properties calculated at the GGA-PBE level.

Summary:
Symmetry: No. 122
Formation enthalpy at 0 K, eV per atom: 0.211

Cell lengths 4.552, 4.552, 5.883 Å; angles 67.24, 67.24, 90.00 degrees
Atoms (fractional coordinates):
Zr  0.750  0.250  0.500
Zr  0.000  0.000  0.000
C  0.875  0.799  0.750
C  0.201  0.625  0.250
C  0.375  0.451  0.750
C  0.549  0.125  0.250
Mn  0.500  0.500  0.000
Mn  0.250  0.750  0.500

7.
Below is a relaxed structure of Ti5Al12Pt3, with properties calculated at the GGA-PBE level.

Summary:
Symmetry: No. 230
Formation enthalpy at 0 K, eV per atom: 0.300

Cell lengths 13.136, 13.136, 13.136 Å; angles 109.47, 109.47, 109.47 degrees
Each line ends with the local moment (μB).
Atoms (fractional coordinates):
Pt  0.125  0.250  0.875  -0.01
Pt  0.250  0.125  0.375  -0.01
Pt  0.375  0.750  0.625  -0.01
Pt  0.125  0.875  0.750  -0.01
Pt  0.875  0.125  0.250  -0.01
Pt  0.750  0.875  0.625  -0.01
Pt  0.625  0.375  0.750  -0.01
Pt  0.250  0.625  0.875  -0.01
Pt  0.375  0.625  0.250  -0.01
Pt  0.625  0.250  0.375  -0.01
Pt  0.875  0.750  0.125  -0.01
Pt  0.750  0.375  0.125  -0.01
Al  0.847  0.933  0.079  0.00
Al  0.567  0.921  0.653  0.00
Al  0.653  0.421  0.567  0.00
Al  0.653  0.232  0.586  0.00
Al  0.933  0.847  0.579  0.00
Al  0.153  0.067  0.921  0.00
Al  0.768  0.421  0.354  0.00
Al  0.354  0.921  0.768  0.00
Al  0.079  0.646  0.732  0.00
Al  0.421  0.768  0.854  0.00
Al  0.414  0.268  0.347  0.00
Al  0.914  0.847  0.768  0.00
Al  0.933  0.086  0.854  0.00
Al  0.732  0.146  0.079  0.00
Al  0.421  0.653  0.067  0.00
Al  0.579  0.232  0.146  0.00
Al  0.354  0.433  0.086  0.00
Al  0.847  0.914  0.268  0.00
Al  0.146  0.414  0.067  0.00
Al  0.586  0.854  0.433  0.00
Al  0.146  0.732  0.579  0.00
Al  0.086  0.933  0.354  0.00
Al  0.433  0.079  0.347  0.00
Al  0.646  0.079  0.232  0.00
Al  0.086  0.153  0.232  0.00
Al  0.921  0.354  0.268  0.00
Al  0.646  0.567  0.914  0.00
Al  0.854  0.268  0.421  0.00
Al  0.579  0.347  0.933  0.00
Al  0.153  0.086  0.732  0.00
Al  0.079  0.433  0.847  0.00
Al  0.347  0.768  0.414  0.00
Al  0.567  0.646  0.414  0.00
Al  0.414  0.146  0.567  0.00
Al  0.768  0.347  0.914  0.00
Al  0.732  0.586  0.153  0.00
Al  0.067  0.153  0.421  0.00
Al  0.914  0.067  0.646  0.00
Al  0.232  0.579  0.646  0.00
Al  0.586  0.732  0.653  0.00
Al  0.921  0.567  0.153  0.00
Al  0.067  0.914  0.146  0.00
Al  0.268  0.414  0.847  0.00
Al  0.268  0.854  0.921  0.00
Al  0.854  0.586  0.933  0.00
Al  0.347  0.579  0.433  0.00
Al  0.433  0.354  0.586  0.00
Al  0.232  0.653  0.086  0.00
Ti  0.250  0.375  0.625  1.03
Ti  0.125  0.750  0.375  1.03
Ti  0.125  0.375  0.250  1.03
Ti  0.000  0.500  0.000  0.15
Ti  0.875  0.625  0.750  1.03
Ti  0.625  0.750  0.875  1.03
Ti  0.500  0.500  0.500  0.15
Ti  0.500  0.500  0.000  0.15
Ti  0.625  0.875  0.250  1.03
Ti  0.250  0.875  0.125  1.03
Ti  0.000  0.500  0.500  0.15
Ti  0.000  0.000  0.500  0.15
Ti  0.000  0.000  0.000  0.15
Ti  0.375  0.250  0.125  1.03
Ti  0.750  0.625  0.375  1.03
Ti  0.750  0.125  0.875  1.03
Ti  0.875  0.250  0.625  1.03
Ti  0.375  0.125  0.750  1.03
Ti  0.500  0.000  0.000  0.15
Ti  0.500  0.000  0.500  0.15

8.
Below is a relaxed structure of Hf3TiBi4, with properties calculated at the GGA-PBE level.

Summary:
Symmetry: No. 59
Formation enthalpy at 0 K, eV per atom: -0.163

Cell lengths 5.255, 7.953, 10.475 Å; angles 90.00, 90.00, 90.00 degrees
Atoms (fractional coordinates):
Ti  0.564  0.588  0.500
Ti  0.064  0.412  0.000
Bi  0.564  0.213  0.000
Bi  0.064  0.800  0.000
Bi  0.064  0.787  0.500
Bi  0.564  0.793  0.260
Bi  0.064  0.207  0.240
Bi  0.564  0.200  0.500
Bi  0.564  0.793  0.740
Bi  0.064  0.207  0.760
Hf  0.064  0.395  0.500
Hf  0.064  0.602  0.248
Hf  0.564  0.398  0.748
Hf  0.064  0.602  0.752
Hf  0.564  0.398  0.252
Hf  0.564  0.605  0.000

9.
Below is a relaxed structure of Zn2AgP, with properties calculated at the GGA-PBE level.

Summary:
Symmetry: No. 44
Formation enthalpy at 0 K, eV per atom: 0.183

Cell lengths 5.021, 5.021, 5.021 Å; angles 134.85, 132.83, 67.35 degrees
Atoms (fractional coordinates):
P  0.762  0.262  0.500
Zn  0.991  0.991  0.000
Zn  0.244  0.744  0.500
Ag  0.503  0.503  0.000

10.
Below is a relaxed structure of Y7Fe, with properties calculated at the GGA-PBE level.

Summary:
Symmetry: No. 225
Formation enthalpy at 0 K, eV per atom: 0.222

Cell lengths 6.938, 6.938, 6.938 Å; angles 60.00, 60.00, 60.00 degrees
Each line ends with the local moment (μB).
Atoms (fractional coordinates):
Y  0.500  0.000  0.500  -0.04
Y  0.000  0.500  0.500  -0.04
Y  0.000  0.000  0.500  -0.04
Y  0.000  0.500  0.000  -0.04
Y  0.500  0.500  0.000  -0.04
Y  0.500  0.000  0.000  -0.04
Y  0.500  0.500  0.500  0.04
Fe  0.000  0.000  0.000  2.97

11.
Below is a relaxed structure of Os3PbC, with properties calculated at the GGA-PBE level.

Summary:
Symmetry: No. 221
Formation enthalpy at 0 K, eV per atom: 4.483

Cell lengths 5.038, 5.038, 5.038 Å; angles 90.00, 90.00, 90.00 degrees
Each line ends with the local moment (μB).
Atoms (fractional coordinates):
C  0.500  0.500  0.500  -0.64
Pb  0.000  0.000  0.000  -0.06
Os  0.000  0.000  0.500  1.84
Os  0.000  0.500  0.000  1.69
Os  0.500  0.000  0.000  1.45

12.
Below is a relaxed structure of Ce8Ga2Fe, with properties calculated at the GGA-PBE level.

Summary:
Symmetry: No. 12
Formation enthalpy at 0 K, eV per atom: -0.199

Cell lengths 5.126, 6.312, 9.221 Å; angles 110.08, 106.14, 90.00 degrees
Each line ends with the local moment (μB).
Atoms (fractional coordinates):
Ce  0.781  0.770  0.562  0.54
Ce  0.583  0.391  0.166  0.19
Ce  0.347  0.065  0.694  0.39
Ce  0.219  0.230  0.438  0.54
Ce  0.653  0.935  0.306  0.39
Ce  0.002  0.220  0.004  0.22
Ce  0.417  0.609  0.834  0.19
Ce  0.998  0.780  0.996  0.22
Ga  0.168  0.671  0.335  -0.01
Ga  0.832  0.329  0.665  -0.01
Fe  0.500  0.000  0.000  -0.07